# 1
Material: TaIn2Os
Method: DFT, PBE
State: optimized geometry

Properties
VASP energy, eV/atom: -6.2984
Density of states at the Fermi level, states/eV per atom: 0.8591
Formation energy, eV per atom: 0.84
Relative energy among the computed polymorphs, meV/atom: 806

Unit cell a=6.092 b=6.092 c=6.092 alpha=101.94 beta=101.94 gamma=125.89
Atoms (fractional coordinates):
Ta  0.000  0.000  0.000
Ta  0.750  0.250  0.500
In  0.147  0.625  0.022
In  0.375  0.397  0.522
In  0.603  0.125  0.978
In  0.875  0.853  0.478
Os  0.250  0.750  0.500
Os  0.500  0.500  0.000

=====

# 2
Material: Ba2NaCuP
Method: DFT, PBE
State: optimized geometry

Properties
VASP energy, eV/atom: -3.2540
Density of states at the Fermi level, states/eV per atom: 0.5573
Formation energy, eV per atom: -0.32

Unit cell a=6.428 b=6.428 c=4.416 alpha=90.00 beta=90.00 gamma=90.00
Atoms (fractional coordinates):
Ba  0.000  0.500  0.000
Ba  0.500  0.000  0.000
Na  0.000  0.000  0.500
Cu  0.500  0.500  0.500
P  0.500  0.500  0.000